(1)
A PBEsol-optimized structure of BaSrRu. Source: Alexandria, functional SCAN.

Cell and atoms, written as POSCAR:
```
BaSrRu
1.0
0.0000 3.6129 3.6129
3.6129 0.0000 3.6129
3.6129 3.6129 0.0000
Ba Sr Ru
1 1 1
Direct
0.0000 0.0000 0.0000
0.5000 0.5000 0.5000
0.2500 0.2500 0.2500
```

Calculated values
- M_tot: 0.0 μB per cell
- Polymorph energy (0 for the lowest one): 0.66 kcal/mol of atoms
- Energy of formation: 0.51 eV per atom
- DOS at the Fermi energy: 0.12 states/eV/atom
- Space-group type: F-43m, No. 216
- Total DFT energy (no corrections): -31.71 eV per atom

---

(2)
A PBEsol-optimized structure of Sr3CaV4O12. Source: Alexandria, functional SCAN.

Cell and atoms, written as POSCAR:
```
Sr3CaV4O12
1.0
3.8002 0.0000 0.0000
0.0000 5.3753 0.0000
0.0000 0.0000 10.7422
Sr Ca V O
3 1 4 12
Direct
0.0000 0.0000 0.0000
0.0000 0.5000 0.2507
0.0000 0.5000 0.7493
0.0000 0.0000 0.5000
0.5000 0.0000 0.2523
0.5000 0.0000 0.7477
0.5000 0.5000 0.0000
0.5000 0.5000 0.5000
0.0000 0.0000 0.2539
0.0000 0.0000 0.7461
0.0000 0.5000 0.0000
0.0000 0.5000 0.5000
0.5000 0.2482 0.3768
0.5000 0.2482 0.6232
0.5000 0.2501 0.1260
0.5000 0.2501 0.8740
0.5000 0.7499 0.1260
0.5000 0.7499 0.8740
0.5000 0.7518 0.3768
0.5000 0.7518 0.6232
```

Calculated values
- M_tot: 0.0 μB per cell
- Polymorph energy (0 for the lowest one): 0.13 kcal/mol of atoms
- DOS at the Fermi energy: 0.22 states/eV/atom
- Space-group type: Pmmm, No. 47
- Raw formation energy: -3.036 eV per atom
- Total DFT energy (no corrections): -14.10 eV per atom

---

(3)
A PBEsol-optimized structure of LiZrB2Au. Source: Alexandria, functional SCAN.

Cell and atoms, written as POSCAR:
```
LiZrB2Au
1.0
4.4450 0.0000 0.0000
0.0000 4.4450 0.0000
0.0000 0.0000 5.2506
Li Zr B Au
1 1 2 1
Direct
0.0000 0.0000 0.0000
0.5000 0.5000 0.5000
0.0000 0.5000 0.5000
0.5000 0.0000 0.5000
0.5000 0.5000 0.0000
```

Calculated values
- M_tot: 0.0 μB per cell
- Energy of formation: 1.15 eV per atom
- DOS at the Fermi energy: 0.64 states/eV/atom
- Space-group type: P4/mmm, No. 123
- Total DFT energy (no corrections): -22.27 eV per atom

---

(4)
A PBEsol-optimized structure of AsF5. Source: Alexandria, functional SCAN.

Cell and atoms, written as POSCAR:
```
AsF5
1.0
5.7552 0.0000 0.0000
-2.8776 4.9842 0.0000
0.0000 0.0000 6.3980
As F
2 10
Direct
0.3333 0.6667 0.2500
0.6667 0.3333 0.7500
0.1626 0.3251 0.2500
0.1626 0.8374 0.2500
0.3251 0.1626 0.7500
0.3333 0.6667 0.5218
0.3333 0.6667 0.9782
0.6667 0.3333 0.0218
0.6667 0.3333 0.4782
0.6749 0.8374 0.2500
0.8374 0.1626 0.7500
0.8374 0.6749 0.7500
```

Calculated values
- M_tot: 0.2 μB per cell
- DOS at the Fermi energy: 0.00 states/eV/atom
- Space-group type: P6_3/mmc, No. 194
- Raw formation energy: -2.103 eV per atom
- Total DFT energy (no corrections): -8.42 eV per atom

---

(5)
A PBEsol-optimized structure of MoIr3. Source: Alexandria, functional SCAN.

Cell and atoms, written as POSCAR:
```
MoIr3
1.0
5.4498 0.0000 0.0000
0.0000 13.2645 0.0000
0.0000 0.0000 4.7343
Mo Ir
6 18
Direct
0.2500 0.0860 0.1734
0.2500 0.4140 0.1734
0.2500 0.7500 0.4988
0.7500 0.2500 0.5012
0.7500 0.5860 0.8266
0.7500 0.9140 0.8266
0.0005 0.0837 0.6666
0.0005 0.4163 0.6666
0.0022 0.7500 0.0008
0.2500 0.2500 0.4967
0.2500 0.5858 0.8313
0.2500 0.9142 0.8313
0.4978 0.7500 0.0008
0.4995 0.0837 0.6666
0.4995 0.4163 0.6666
0.5005 0.5837 0.3334
0.5005 0.9163 0.3334
0.5022 0.2500 0.9992
0.7500 0.0858 0.1687
0.7500 0.4142 0.1687
0.7500 0.7500 0.5033
0.9978 0.2500 0.9992
0.9995 0.5837 0.3334
0.9995 0.9163 0.3334
```

Calculated values
- M_tot: 0.0 μB per cell
- Polymorph energy (0 for the lowest one): 1.14 kcal/mol of atoms
- Energy of formation: -0.31 eV per atom
- DOS at the Fermi energy: 0.80 states/eV/atom
- Space-group type: Pmmn, No. 59
- Total DFT energy (no corrections): -62.36 eV per atom

---

(6)
A PBEsol-optimized structure of Hg3PdCl. Source: Alexandria, functional SCAN.

Cell and atoms, written as POSCAR:
```
Hg3PdCl
1.0
5.2427 0.0000 0.0000
0.0000 5.2427 0.0000
0.0000 0.0000 5.2427
Hg Pd Cl
3 1 1
Direct
0.0000 0.0000 0.5000
0.0000 0.5000 0.0000
0.5000 0.0000 0.0000
0.5000 0.5000 0.5000
0.0000 0.0000 0.0000
```

Calculated values
- M_tot: 0.0 μB per cell
- DOS at the Fermi energy: 1.13 states/eV/atom
- Space-group type: Pm-3m, No. 221
- Raw formation energy: 0.846 eV per atom
- Total DFT energy (no corrections): -48.20 eV per atom

---

(7)
A PBEsol-optimized structure of BiTeNO2. Source: Alexandria, functional SCAN.

Cell and atoms, written as POSCAR:
```
BiTeNO2
1.0
4.1121 0.0000 0.0000
0.0000 4.1121 0.0000
0.0000 0.0000 4.2769
Bi Te N O
1 1 1 2
Direct
0.0000 0.0000 0.0000
0.5000 0.5000 0.5000
0.5000 0.5000 0.0000
0.0000 0.5000 0.5000
0.5000 0.0000 0.5000
```

Calculated values
- M_tot: 0.0 μB per cell
- DOS at the Fermi energy: 0.36 states/eV/atom
- Space-group type: P4/mmm, No. 123
- Raw formation energy: 0.088 eV per atom
- Total DFT energy (no corrections): -27.43 eV per atom

---

(8)
A PBEsol-optimized structure of FeBiPPt2. Source: Alexandria, functional SCAN.

Cell and atoms, written as POSCAR:
```
FeBiPPt2
1.0
4.5764 0.0000 0.0000
0.0000 4.5764 0.0000
0.0000 0.0000 4.8441
Fe Bi P Pt
1 1 1 2
Direct
0.0000 0.0000 0.0000
0.0000 0.0000 0.5000
0.5000 0.5000 0.5000
0.0000 0.5000 0.0000
0.5000 0.0000 0.0000
```

Calculated values
- M_tot: 3.5 μB per cell
- Energy of formation: 1.08 eV per atom
- DOS at the Fermi energy: 0.73 states/eV/atom
- Space-group type: P4/mmm, No. 123
- Total DFT energy (no corrections): -48.42 eV per atom

---

(9)
A PBEsol-optimized structure of Cs2RbAlCl6. Source: Alexandria, functional SCAN.

Cell and atoms, written as POSCAR:
```
Cs2RbAlCl6
1.0
0.0000 5.3679 5.3679
5.3679 0.0000 5.3679
5.3679 5.3679 0.0000
Cs Rb Al Cl
2 1 1 6
Direct
0.2500 0.2500 0.2500
0.7500 0.7500 0.7500
0.0000 0.0000 0.0000
0.5000 0.5000 0.5000
0.2836 0.2836 0.7164
0.2836 0.7164 0.2836
0.2836 0.7164 0.7164
0.7164 0.2836 0.2836
0.7164 0.2836 0.7164
0.7164 0.7164 0.2836
```

Calculated values
- M_tot: 0.0 μB per cell
- DOS at the Fermi energy: 0.00 states/eV/atom
- Space-group type: Fm-3m, No. 225
- Raw formation energy: -2.067 eV per atom
- Total DFT energy (no corrections): -17.26 eV per atom

---

(10)
A PBEsol-optimized structure of K3CI. Source: Alexandria, functional SCAN.

Cell and atoms, written as POSCAR:
```
K3CI
1.0
5.6217 0.0000 0.0000
0.0000 5.6217 0.0000
0.0000 0.0000 5.6217
K C I
3 1 1
Direct
0.0000 0.0000 0.5000
0.0000 0.5000 0.0000
0.5000 0.0000 0.0000
0.0000 0.0000 0.0000
0.5000 0.5000 0.5000
```

Calculated values
- M_tot: 2.0 μB per cell
- Polymorph energy (0 for the lowest one): 0.00 kcal/mol of atoms
- DOS at the Fermi energy: 0.66 states/eV/atom
- Space-group type: Pm-3m, No. 221
- Raw formation energy: 0.155 eV per atom
- Total DFT energy (no corrections): -14.21 eV per atom

---

(11)
A PBEsol-optimized structure of NbPNCl2. Source: Alexandria, functional SCAN.

Cell and atoms, written as POSCAR:
```
NbPNCl2
1.0
4.1556 0.0000 0.0000
0.0000 4.1556 0.0000
0.0000 0.0000 4.2128
Nb P N Cl
1 1 1 2
Direct
0.0000 0.0000 0.0000
0.5000 0.5000 0.0000
0.5000 0.5000 0.5000
0.0000 0.5000 0.5000
0.5000 0.0000 0.5000
```

Calculated values
- M_tot: 2.0 μB per cell
- DOS at the Fermi energy: 0.43 states/eV/atom
- Space-group type: P4/mmm, No. 123
- Raw formation energy: 1.046 eV per atom
- Total DFT energy (no corrections): -12.71 eV per atom

---

(12)
A PBEsol-optimized structure of Ba2W3. Source: Alexandria, functional SCAN.

Cell and atoms, written as POSCAR:
```
Ba2W3
1.0
1.5737 0.9086 13.5965
-1.5737 0.9086 13.5965
0.0000 -1.8172 13.5965
Ba W
2 3
Direct
0.0969 0.0969 0.0969
0.9031 0.9031 0.9031
0.3543 0.3543 0.3543
0.5000 0.5000 0.5000
0.6457 0.6457 0.6457
```

Calculated values
- M_tot: 0.0 μB per cell
- Polymorph energy (0 for the lowest one): 0.00 kcal/mol of atoms
- Energy of formation: 1.57 eV per atom
- DOS at the Fermi energy: 1.15 states/eV/atom
- Space-group type: R-3m, No. 166
- Total DFT energy (no corrections): -56.06 eV per atom

---

Q: What is the formula in the second record?
A: Sr3CaV4O12

---

Q: What is the total DFT energy (no corrections) in the twelfth record?
A: -56.06 eV per atom

---

Q: Which of these has the highest total DFT energy (no corrections)?
A: AsF5